# GGA-PBE Ti6Ge2P, optimized geometry
data_Ti6Ge2P
_chemical_formula_sum 'Ti6 Ge2 P1'
_cell_length_a 6.8396
_cell_length_b 6.8396
_cell_length_c 3.5140
_cell_angle_alpha 90.00
_cell_angle_beta 90.00
_cell_angle_gamma 120.00
_symmetry_space_group_name_H-M 'P -6 2 m'
_symmetry_Int_Tables_number 189
_symmetry_space_group_name_Hall 'P -6 -2'
loop_
_atom_site_label
_atom_site_type_symbol
_atom_site_fract_x
_atom_site_fract_y
_atom_site_fract_z
Ti1 Ti 0.0000 0.3956 0.0000
Ti2 Ti 0.0000 0.7506 0.5000
Ge1 Ge 0.3333 0.6667 0.5000
P1 P 0.0000 0.0000 0.0000
# ΔH_f (0 K) (eV per atom): -0.82
# DOS(E_F) (states/eV per atom): 0.337
# Magnetization (μB/atom): 0.000